[1]
LaEuZnBi | PBE | relaxed

Cell lengths 5.5322, 5.5322, 5.5322 Å; angles 60.00, 60.00, 60.00 degrees
Last column: nearest neighbours and their distance in Å.
Sites, in units of the cell vectors:
Eu 0.2500 0.2500 0.2500  4 Bi 3.39, 4 Zn 3.39
Zn 0.5000 0.5000 0.5000  4 La 3.39, 4 Eu 3.39
Bi 0.0000 0.0000 0.0000  4 La 3.39, 4 Eu 3.39
La 0.7500 0.7500 0.7500  4 Zn 3.39, 4 Bi 3.39

Calculated values
For the formation energy, the calculation gives -2.079 eV per formula unit. The space group is F-43m, No. 216.

[2]
NdPuGa2O8 | PBE | relaxed

Cell lengths 4.8283, 4.8280, 7.3721 Å; angles 89.77, 89.77, 80.24 degrees
Last column: nearest neighbours and their distance in Å.
Sites, in units of the cell vectors:
Nd 0.0000 0.0000 0.5000  6 O 2.38-2.44
Pu 0.0000 0.0000 0.0000  2 O 1.81
Ga 0.4987 0.4987 0.6903  4 O 1.84-1.93
Ga 0.5013 0.5013 0.3097  4 O 1.84-1.93
O 0.2216 0.7795 0.2262  1 Ga 1.84
O 0.7556 0.7553 0.0022  1 Pu 1.81
O 0.7793 0.2214 0.2262  1 Ga 1.84
O 0.7784 0.2205 0.7738  1 Ga 1.84
O 0.2444 0.2447 0.9978  1 Pu 1.81
O 0.2207 0.7786 0.7738  1 Ga 1.84
O 0.6784 0.6782 0.5000  2 Ga 1.92-1.93
O 0.3216 0.3218 0.5000  2 Ga 1.92-1.93

Calculated values
Its uncorrected formation energy is -2241 meV/atom. The space group is C2/m, No. 12.